[1]
Entry from Alexandria: a relaxed TaRe2TcSe crystal (PBE).

```
5
Lattice="4.749 0.000 0.000 0.000 4.749 0.000 0.000 0.000 4.747" Properties=species:S:1:pos:R:3 pbc="T T T"
Re 0.000 2.374 0.000
Re 2.374 0.000 0.000
Tc 2.374 2.374 2.373
Se 0.000 0.000 2.373
Ta 0.000 0.000 0.000
```

Results
- formation energy (no corrections) (eV per atom) = 2.325
- calculated density (g cm⁻³) = 11.3
- uncorrected energy (eV/atom) = -7.79
- magnetization (μB per cell) = 0.664
- space group = P4/mmm, No. 123



[2]
Entry from Alexandria: a relaxed TbRe4Se7 crystal (PBE).

```
24
Lattice="6.357 0.546 0.000 0.644 4.836 0.000 0.000 0.000 17.204" Properties=species:S:1:pos:R:3 pbc="T T T"
Tb 2.339 3.833 8.602
Tb 1.578 1.158 0.000
Re 4.947 3.370 14.715
Re 0.705 3.269 4.079
Re 2.947 1.805 4.505
Re 0.919 1.702 11.102
Re 0.919 1.702 6.102
Re 4.947 3.370 2.490
Re 0.705 3.269 13.125
Re 2.947 1.805 12.699
Se 0.821 3.479 1.560
Se 3.221 1.381 6.995
Se 3.672 1.167 15.122
Se 6.847 4.701 10.750
Se 6.847 4.701 6.454
Se 3.672 1.167 2.082
Se 3.126 4.197 13.101
Se 5.542 1.695 12.904
Se 5.542 1.695 4.300
Se 3.126 4.197 4.103
Se 3.830 3.563 0.000
Se 6.385 2.129 8.602
Se 0.821 3.479 15.644
Se 3.221 1.381 10.209
```

Results
- formation energy (no corrections) (eV per atom) = -0.124
- calculated density (g cm⁻³) = 9.3
- uncorrected energy (eV/atom) = -6.69
- magnetization (μB per cell) = 0.000
- space group = Pm, No. 6



Question: The highest uncorrected energy belongs to which entry?
Answer: TbRe4Se7